Record 1
Below is an optimized crystal structure of Pu2AlSb4, with properties calculated at the PBE level.

Calculated values
- Formation energy from raw total energies: -424 meV/atom

Cell lengths 4.3808, 4.3808, 9.7715 Å; angles 90.00, 90.00, 90.00 degrees
With the nearest neighbours (Å) after each atom.
Space group P-4m2 (No. 115)
Inequivalent atoms, fractional coordinates:
Pu1 0.0000 0.5000 0.2485 (multiplicity 2)  8 Sb 3.21-3.27, 2 Al 3.29
Al1 0.0000 0.0000 0.5000 (multiplicity 1)  4 Sb 2.73
Sb1 0.0000 0.0000 0.0000 (multiplicity 1)  4 Sb 3.10, 4 Pu 3.27
Sb2 0.0000 0.5000 0.6662 (multiplicity 2)  2 Al 2.73
Sb3 0.5000 0.5000 0.0000 (multiplicity 1)  4 Sb 3.10, 4 Pu 3.27

***

Record 2
Below is an optimized crystal structure of Tl2IrCl, with properties calculated at the PBE level.

Calculated values
- Formation energy from raw total energies: 143 meV/atom
- Relative energy among the computed polymorphs: 60 meV/atom

Cell lengths 3.3874, 3.8167, 15.6922 Å; angles 90.00, 90.00, 90.00 degrees
With the nearest neighbours (Å) after each atom.
Space group Imm2 (No. 44)
Inequivalent atoms, fractional coordinates:
Tl1 0.0000 0.0000 0.0000 (multiplicity 2)  2 Ir 2.91, 4 Cl 3.10
Tl2 0.0000 0.5000 0.2152 (multiplicity 2)  4 Ir 2.74
Ir1 0.0000 0.5000 0.6509 (multiplicity 2)  6 Tl 2.74-2.91
Cl1 0.0000 0.0000 0.3875 (multiplicity 2)  6 Tl 3.10-3.31, 2 Cl 3.39

***

Record 3
Below is an optimized crystal structure of Te5Pt, with properties calculated at the PBE level.

Calculated values
- Formation energy from raw total energies: 718 meV/atom
- Relative energy among the computed polymorphs: 895 meV/atom

Cell lengths 5.7843, 5.7843, 6.2905 Å; angles 90.00, 90.00, 120.00 degrees
With the nearest neighbours (Å) after each atom.
Space group P6/mmm (No. 191)
Inequivalent atoms, fractional coordinates:
Te1 0.0000 0.5000 0.0000 (multiplicity 3)  4 Te 2.89
Te2 0.3333 0.6667 0.5000 (multiplicity 2)  3 Pt 3.34, 9 Te 3.34-3.56
Pt1 0.0000 0.0000 0.5000 (multiplicity 1)  6 Te 3.34

***

Record 4
Below is an optimized crystal structure of LaYIn2Rh, with properties calculated at the PBE level.

Calculated values
- Calculated formation energy: 0.468 eV/atom

Cell lengths 5.9164, 5.9164, 4.8030 Å; angles 90.00, 90.00, 90.00 degrees
With the nearest neighbours (Å) after each atom.
Space group P4/mmm (No. 123)
Inequivalent atoms, fractional coordinates:
La1 0.0000 0.0000 0.0000 (multiplicity 1)  2 Rh 2.40
Y1 0.5000 0.5000 0.5000 (multiplicity 1)  8 In 3.81, 4 Rh 4.18
In1 0.0000 0.5000 0.0000 (multiplicity 2)  2 La 2.96
Rh1 0.0000 0.0000 0.5000 (multiplicity 1)  2 La 2.40